The following is a DFT calculation (PBE) of Pu6TeRh5 after structural relaxation.

abc: 4.7831 7.1909 7.7917
angles: 90.00 107.42 90.00
Last column: nearest neighbours and their distance in Å.
Space group P2/m (No. 10)
Asymmetric unit:
Pu 0.0000 0.2289 0.0000 [2 per cell]  4 Rh 2.90-2.93, 2 Te 3.09
Pu 0.3266 0.2432 0.6570 [4 per cell]  7 Rh 2.88-3.09, 1 Te 3.15
Te 0.5000 0.5000 0.0000 [1 per cell]  8 Pu 3.09-3.15
Rh 0.1657 0.0000 0.3263 [2 per cell]  8 Pu 2.93-3.02
Rh 0.1819 0.5000 0.3601 [2 per cell]  6 Pu 2.88-3.02, 2 Rh 3.17
Rh 0.5000 0.0000 0.0000 [1 per cell]  8 Pu 2.90-3.09

Properties
The uncorrected formation energy comes out at -5.3 eV/f.u.